Here is an optimized crystal structure of CoH4Cl2O2 from Alexandria via LeMat-Bulk. Energies are from PBE with a Hubbard U.

Properties
uncorrected energy = -41.0 eV/cell
crystal system = monoclinic

a = 3.601 Å, b = 5.857 Å, c = 5.857 Å
α = 91.96°, β = 100.87°, γ = 100.87°
Site moments in Bohr magnetons follow the coordinates.
Sites, in units of the cell vectors:
O (0.000, 0.758, 0.242)  0.04
O (0.000, 0.242, 0.758)  0.04
Co (0.000, 0.000, 0.000)  2.70
H (0.134, 0.786, 0.406)  0.00
H (0.866, 0.214, 0.594)  0.00
H (0.134, 0.406, 0.786)  0.00
H (0.866, 0.594, 0.214)  0.00
Cl (0.634, 0.221, 0.221)  0.06
Cl (0.366, 0.779, 0.779)  0.06